1.
## AlV2Ga (PBE)

Data for a relaxed structure of AlV2Ga.

Calculated values
Total moment = 0.00 Bohr magnetons per cell
Energy of formation = -213 meV/atom

Cell: 3.744 3.744 4.019 Å, 90.00 90.00 90.00°
Space group P4/mmm (No. 123)
Symmetry-distinct sites (fractional):
Al  0.000  0.000  0.000 [1 per cell]
V  0.000  0.500  0.500 [2 per cell]
Ga  0.500  0.500  0.000 [1 per cell]

***

2.
## DyGa3Os (PBE)

Data for a relaxed structure of DyGa3Os.

Calculated values
Total moment = 0.00 Bohr magnetons per cell
Energy of formation = -488 meV/atom

Cell: 6.429 6.429 6.429 Å, 90.00 90.00 90.00°
Space group Pm-3m (No. 221)
Symmetry-distinct sites (fractional):
Dy  0.000  0.000  0.500 [3 per cell]
Ga  0.000  0.000  0.000 [1 per cell]
Ga  0.289  0.289  0.289 [8 per cell]
Os  0.000  0.500  0.500 [3 per cell]

***

3.
## AlGa6Rh (PBE)

Data for a relaxed structure of AlGa6Rh.

Calculated values
Total moment = 0.00 Bohr magnetons per cell
Energy of formation = -156 meV/atom

Cell: 6.681 8.412 5.274 Å, 90.00 109.68 90.00°
Space group C2/m (No. 12)
Symmetry-distinct sites (fractional):
Al  0.000  0.000  0.000 [2 per cell]
Ga  0.090  0.500  0.270 [4 per cell]
Ga  0.176  0.267  0.736 [8 per cell]
Rh  0.000  0.000  0.500 [2 per cell]

***

4.
## Nd2DyUN4 (PBE)

Data for a relaxed structure of Nd2DyUN4.

Calculated values
Uncorrected formation energy = -1.50 eV/atom
Total moment = 0.24 Bohr magnetons per cell

Cell: 6.050 3.541 6.165 Å, 90.00 108.94 90.00°
Space group P2/m (No. 10)
Symmetry-distinct sites (fractional):
Nd  0.000  0.000  0.000 [1 per cell]
Nd  0.500  0.500  0.000 [1 per cell]
Dy  0.000  0.500  0.500 [1 per cell]
U  0.500  0.000  0.500 [1 per cell]
N  0.263  0.000  0.716 [2 per cell]
N  0.276  0.500  0.288 [2 per cell]

***

5.
## CeDy10Tm4 (PBE)

Data for a relaxed structure of CeDy10Tm4.

Calculated values
Total moment = 2.92 Bohr magnetons per cell
Energy of formation = 367 meV/atom

Cell: 9.618 9.618 10.482 Å, 90.00 90.00 90.00°
Space group I4/m (No. 87)
Symmetry-distinct sites (fractional):
Ce  0.000  0.000  0.000 [2 per cell]
Dy  0.000  0.500  0.250 [4 per cell]
Dy  0.114  0.214  0.342 [16 per cell]
Tm  0.068  0.335  0.000 [8 per cell]

***

- What is the total moment in the second record?
  0.00 Bohr magnetons per cell